The following is a DFT calculation (PBE-GGA) of Na2ZrTi2Te6 after structural relaxation.

Cell lengths 6.865, 6.865, 8.221 Å; angles 97.76, 97.76, 120.02 degrees
Positions (direct):
Na  0.162  0.838  0.000
Na  0.838  0.162  0.000
Zr  0.000  0.000  0.500
Ti  0.333  0.667  0.500
Ti  0.667  0.333  0.500
Te  0.072  0.414  0.716
Te  0.277  0.277  0.284
Te  0.414  0.072  0.716
Te  0.586  0.928  0.284
Te  0.723  0.723  0.716
Te  0.928  0.586  0.284

Output
Magnetization, μB per cell: 1.7
Formation energy from raw total energies, eV/f.u.: -9.01
Total DFT energy (no corrections), eV per cell: -54.838